1.
Crystalline Sr2AsPAu2 at its relaxed geometry. Source: OQMD, functional PBE.

Values from the calculation:
- calculated total energy (eV per atom) = -4.244

```
6
Lattice="4.455 0.000 0.000 -2.228 3.859 0.000 0.000 0.000 8.567" Properties=species:S:1:pos:R:3 pbc="T T T"
As 0.000 0.000 4.271
Au 0.000 0.000 0.009
Au 0.000 2.572 4.294
P 0.000 2.572 8.557
Sr 2.228 1.286 2.113
Sr 2.228 1.286 6.458
```

=====

2.
Crystalline Sr2AsPAu2 at its relaxed geometry. Source: OQMD, functional PBE.

Values from the calculation:
- calculated total energy (eV per atom) = -4.244

```
6
Lattice="-0.391 1.669 -4.113 0.537 -4.385 0.584 -8.495 -0.986 0.407" Properties=species:S:1:pos:R:3 pbc="T T T"
As 0.000 0.000 0.000
Au 0.228 -2.367 -0.982
Au -4.248 -0.493 0.203
P -4.020 -2.860 -0.778
Sr -2.238 -0.600 -2.444
Sr -6.420 -1.085 -2.244
```